No. 1
The following is a DFT calculation (PBE) of crystalline CePm2Zr at its relaxed geometry.

Its calculated total energy is -22.65 eV per cell. For the energy of formation, the calculation gives 0.333 eV/atom. The value obtained for the energy above the lowest structure with this stoichiometry is 0.177 eV per atom. For the magnetization, the calculation gives 0.3 μB/f.u. As for the symmetry: R-3m.

Lattice parameters (Å, degrees): 3.3708 3.3708 12.1692 82.04 82.04 60.00
With the nearest neighbours (Å) after each atom.
Fractional positions:
Zr 0.0000 0.0000 0.0000  2 Pm 3.13, 6 Zr 3.37
Ce 0.5000 0.5000 0.5000  6 Ce 3.37, 6 Pm 3.47
Pm 0.0869 0.0869 0.7394  1 Zr 3.13, 6 Pm 3.37, 3 Ce 3.47
Pm 0.9131 0.9131 0.2606  1 Zr 3.13, 6 Pm 3.37, 3 Ce 3.47

No. 2
The following is a DFT calculation (PBE) of crystalline Ce2PmZr at its relaxed geometry.

Its calculated total energy is -24.66 eV per cell. For the energy of formation, the calculation gives 0.126 eV/atom. The value obtained for the energy above the lowest structure with this stoichiometry is 0.000 eV per atom. For the magnetization, the calculation gives 0.0 μB/f.u. As for the symmetry: P4/mmm.

Lattice parameters (Å, degrees): 3.3007 3.3007 10.2755 90.00 90.00 90.00
With the nearest neighbours (Å) after each atom.
Fractional positions:
Zr 0.5000 0.5000 0.0000  4 Zr 3.30, 8 Ce 3.35
Ce 0.0000 0.0000 0.7656  4 Ce 3.30, 4 Zr 3.35, 4 Pm 3.59
Ce 0.0000 0.0000 0.2344  4 Ce 3.30, 4 Zr 3.35, 4 Pm 3.59
Pm 0.5000 0.5000 0.5000  4 Pm 3.30, 8 Ce 3.59

No. 3
The following is a DFT calculation (PBE) of crystalline CePmZr2 at its relaxed geometry.

Its calculated total energy is -27.08 eV per cell. For the energy of formation, the calculation gives 0.175 eV/atom. The value obtained for the energy above the lowest structure with this stoichiometry is 0.000 eV per atom. For the magnetization, the calculation gives 0.0 μB/f.u. As for the symmetry: P4/mmm.

Lattice parameters (Å, degrees): 4.9434 4.6509 4.6509 90.00 90.00 90.00
With the nearest neighbours (Å) after each atom.
Fractional positions:
Zr 0.0000 0.0000 0.5000  4 Zr 3.29, 4 Ce 3.39, 4 Pm 3.39
Zr 0.0000 0.5000 0.0000  4 Zr 3.29, 4 Ce 3.39, 4 Pm 3.39
Ce 0.5000 0.0000 0.0000  4 Pm 3.29, 8 Zr 3.39
Pm 0.5000 0.5000 0.5000  4 Ce 3.29, 8 Zr 3.39

No. 4
The following is a DFT calculation (PBE) of crystalline CePmZr2 at its relaxed geometry.

Its calculated total energy is -27.08 eV per cell. For the energy of formation, the calculation gives 0.176 eV/atom. The value obtained for the energy above the lowest structure with this stoichiometry is 0.001 eV per atom. For the magnetization, the calculation gives 0.0 μB/f.u. As for the symmetry: P4/mmm.

Lattice parameters (Å, degrees): 3.9197 3.9197 7.0348 90.00 90.00 90.00
With the nearest neighbours (Å) after each atom.
Fractional positions:
Zr 0.0000 0.0000 0.7886  1 Zr 2.97, 4 Ce 3.15
Zr 0.0000 0.0000 0.2114  1 Zr 2.97, 4 Ce 3.15
Ce 0.5000 0.5000 0.0000  8 Zr 3.15, 2 Pm 3.52
Pm 0.5000 0.5000 0.5000  8 Zr 3.44, 2 Ce 3.52

No. 5
The following is a DFT calculation (PBE) of crystalline CePm2Zr at its relaxed geometry.

Its calculated total energy is -23.33 eV per cell. For the energy of formation, the calculation gives 0.164 eV/atom. The value obtained for the energy above the lowest structure with this stoichiometry is 0.008 eV per atom. For the magnetization, the calculation gives 0.5 μB/f.u. As for the symmetry: P4/mmm.

Lattice parameters (Å, degrees): 4.9268 4.9163 4.9163 90.00 90.00 90.00
With the nearest neighbours (Å) after each atom.
Fractional positions:
Zr 0.5000 0.5000 0.5000  4 Ce 3.48, 8 Pm 3.48
Ce 0.5000 0.0000 0.0000  4 Zr 3.48, 8 Pm 3.48
Pm 0.0000 0.0000 0.5000  4 Pm 3.48, 4 Ce 3.48, 4 Zr 3.48
Pm 0.0000 0.5000 0.0000  4 Pm 3.48, 4 Zr 3.48, 4 Ce 3.48

No. 6
The following is a DFT calculation (PBE) of crystalline CePmZr at its relaxed geometry.

Its calculated total energy is -18.85 eV per cell. For the energy of formation, the calculation gives 0.129 eV/atom. The value obtained for the energy above the lowest structure with this stoichiometry is 0.027 eV per atom. For the magnetization, the calculation gives 0.5 μB/f.u. As for the symmetry: I4mm.

Lattice parameters (Å, degrees): 3.3388 3.3388 7.9380 102.14 102.14 90.00
With the nearest neighbours (Å) after each atom.
Fractional positions:
Zr 0.3307 0.3307 0.6613  4 Ce 3.33, 4 Zr 3.34, 4 Pm 3.42
Ce 0.6754 0.6754 0.3509  4 Zr 3.33, 4 Ce 3.34, 4 Pm 3.63
Pm 0.9939 0.9939 0.9878  4 Pm 3.34, 4 Zr 3.42, 4 Ce 3.63

No. 7
The following is a DFT calculation (PBE) of crystalline CePmZr at its relaxed geometry.

Its calculated total energy is -18.67 eV per cell. For the energy of formation, the calculation gives 0.188 eV/atom. The value obtained for the energy above the lowest structure with this stoichiometry is 0.086 eV per atom. For the magnetization, the calculation gives 0.0 μB/f.u. As for the symmetry: P-6m2.

Lattice parameters (Å, degrees): 3.3329 5.4446 5.4446 120.00 90.00 90.00
With the nearest neighbours (Å) after each atom.
Fractional positions:
Zr 0.1664 0.3333 0.6667  3 Pm 3.14, 2 Zr 3.33
Ce 0.6666 0.6667 0.3333  2 Ce 3.33, 6 Pm 3.56, 6 Zr 3.56
Pm 0.1670 0.0000 0.0000  3 Zr 3.14, 2 Pm 3.33

No. 8
The following is a DFT calculation (PBE) of crystalline Ce2PmZr at its relaxed geometry.

Its calculated total energy is -24.01 eV per cell. For the energy of formation, the calculation gives 0.290 eV/atom. The value obtained for the energy above the lowest structure with this stoichiometry is 0.164 eV per atom. For the magnetization, the calculation gives 1.5 μB/f.u. As for the symmetry: Fm-3m.

Lattice parameters (Å, degrees): 5.4467 5.4467 5.4467 60.00 60.00 60.00
With the nearest neighbours (Å) after each atom.
Fractional positions:
Zr 0.0000 0.0000 0.0000  8 Ce 3.34
Ce 0.2500 0.2500 0.2500  4 Pm 3.34, 4 Zr 3.34
Ce 0.7500 0.7500 0.7500  4 Zr 3.34, 4 Pm 3.34
Pm 0.5000 0.5000 0.5000  8 Ce 3.34

No. 9
The following is a DFT calculation (PBE) of crystalline Ce2PmZr at its relaxed geometry.

Its calculated total energy is -24.53 eV per cell. For the energy of formation, the calculation gives 0.159 eV/atom. The value obtained for the energy above the lowest structure with this stoichiometry is 0.033 eV per atom. For the magnetization, the calculation gives 0.0 μB/f.u. As for the symmetry: P4/mmm.

Lattice parameters (Å, degrees): 5.0469 4.7082 4.7082 90.00 90.00 90.00
With the nearest neighbours (Å) after each atom.
Fractional positions:
Zr 0.5000 0.5000 0.5000  4 Pm 3.33, 8 Ce 3.45
Ce 0.0000 0.0000 0.5000  4 Ce 3.33, 4 Zr 3.45, 4 Pm 3.45
Ce 0.0000 0.5000 0.0000  4 Ce 3.33, 4 Zr 3.45, 4 Pm 3.45
Pm 0.5000 0.0000 0.0000  4 Zr 3.33, 8 Ce 3.45

No. 10
The following is a DFT calculation (PBE) of crystalline CePm2Zr at its relaxed geometry.

Its calculated total energy is -22.99 eV per cell. For the energy of formation, the calculation gives 0.248 eV/atom. The value obtained for the energy above the lowest structure with this stoichiometry is 0.092 eV per atom. For the magnetization, the calculation gives 0.9 μB/f.u. As for the symmetry: P4/mmm.

Lattice parameters (Å, degrees): 4.0705 4.0705 7.2215 90.00 90.00 90.00
With the nearest neighbours (Å) after each atom.
Fractional positions:
Zr 0.5000 0.5000 0.5000  8 Pm 3.31, 2 Ce 3.61
Ce 0.5000 0.5000 0.0000  8 Pm 3.49, 2 Zr 3.61
Pm 0.0000 0.0000 0.7261  1 Pm 3.27, 4 Zr 3.31, 4 Ce 3.49
Pm 0.0000 0.0000 0.2739  1 Pm 3.27, 4 Zr 3.31, 4 Ce 3.49

No. 11
The following is a DFT calculation (PBE) of crystalline Ce3Pr at its relaxed geometry.

Its calculated total energy is -21.47 eV per cell. For the energy of formation, the calculation gives 0.277 eV/atom. The value obtained for the energy above the lowest structure with this stoichiometry is 0.166 eV per atom. For the magnetization, the calculation gives 4.6 μB/f.u. As for the symmetry: Fm-3m.

Lattice parameters (Å, degrees): 5.6282 5.6282 5.6282 60.00 60.00 60.00
With the nearest neighbours (Å) after each atom.
Fractional positions:
Pr 0.5000 0.5000 0.5000  8 Ce 3.45
Ce 0.0000 0.0000 0.0000  8 Ce 3.45
Ce 0.7500 0.7500 0.7500  4 Ce 3.45, 4 Pr 3.45
Ce 0.2500 0.2500 0.2500  4 Ce 3.45, 4 Pr 3.45

No. 12
The following is a DFT calculation (PBE) of crystalline Ce4Pr at its relaxed geometry.

Its calculated total energy is -24.82 eV per cell. For the energy of formation, the calculation gives 0.740 eV/atom. For the magnetization, the calculation gives 4.4 μB/f.u. As for the symmetry: Pm-3m.

Lattice parameters (Å, degrees): 5.6586 5.6586 5.6586 90.00 90.00 90.00
With the nearest neighbours (Å) after each atom.
Fractional positions:
Pr 0.5000 0.5000 0.5000  6 Ce 2.83
Ce 0.0000 0.0000 0.0000  12 Ce 4.00
Ce 0.5000 0.0000 0.5000  2 Pr 2.83
Ce 0.0000 0.5000 0.5000  2 Pr 2.83
Ce 0.5000 0.5000 0.0000  2 Pr 2.83

No. 13
The following is a DFT calculation (PBE) of crystalline CePr2 at its relaxed geometry.

Its calculated total energy is -15.18 eV per cell. For the energy of formation, the calculation gives 0.103 eV/atom. The value obtained for the energy above the lowest structure with this stoichiometry is 0.031 eV per atom. For the magnetization, the calculation gives 1.2 μB/f.u. As for the symmetry: Immm.

Lattice parameters (Å, degrees): 6.2933 3.6150 6.3307 73.39 60.15 54.92
With the nearest neighbours (Å) after each atom.
Fractional positions:
Ce 0.2815 0.0255 0.5529  2 Ce 3.62, 10 Pr 3.62-3.70
Pr 0.6184 0.0256 0.8798  7 Pr 3.59-3.68, 5 Ce 3.62-3.70
Pr 0.9447 0.0253 0.2262  7 Pr 3.59-3.68, 5 Ce 3.62-3.70

No. 14
The following is a DFT calculation (PBE) of crystalline Ce3Pr at its relaxed geometry.

Its calculated total energy is -22.14 eV per cell. For the energy of formation, the calculation gives 0.111 eV/atom. The value obtained for the energy above the lowest structure with this stoichiometry is 0.000 eV per atom. For the magnetization, the calculation gives 0.0 μB/f.u. As for the symmetry: Pm-3m.

Lattice parameters (Å, degrees): 4.8685 4.8685 4.8685 90.00 90.00 90.00
With the nearest neighbours (Å) after each atom.
Fractional positions:
Pr 0.0000 0.0000 0.0000  12 Ce 3.44
Ce 0.0000 0.5000 0.5000  8 Ce 3.44, 4 Pr 3.44
Ce 0.5000 0.0000 0.5000  8 Ce 3.44, 4 Pr 3.44
Ce 0.5000 0.5000 0.0000  8 Ce 3.44, 4 Pr 3.44

No. 15
The following is a DFT calculation (PBE) of crystalline Ce2Pr at its relaxed geometry.

Its calculated total energy is -32.09 eV per cell. For the energy of formation, the calculation gives 0.200 eV/atom. The value obtained for the energy above the lowest structure with this stoichiometry is 0.110 eV per atom. For the magnetization, the calculation gives 2.4 μB/f.u. As for the symmetry: Fd-3m.

Lattice parameters (Å, degrees): 6.3987 6.3987 6.3987 60.00 60.00 60.00
With the nearest neighbours (Å) after each atom.
Fractional positions:
Pr 0.0000 0.0000 0.0000  12 Ce 3.75, 4 Pr 3.92
Pr 0.2500 0.2500 0.2500  12 Ce 3.75, 4 Pr 3.92
Ce 0.1250 0.6250 0.6250  6 Ce 3.20
Ce 0.6250 0.1250 0.6250  6 Ce 3.20
Ce 0.6250 0.6250 0.6250  6 Ce 3.20
Ce 0.6250 0.6250 0.1250  6 Ce 3.20

No. 16
The following is a DFT calculation (PBE) of crystalline Ce2Pr at its relaxed geometry.

Its calculated total energy is -16.38 eV per cell. For the energy of formation, the calculation gives 0.090 eV/atom. The value obtained for the energy above the lowest structure with this stoichiometry is 0.000 eV per atom. For the magnetization, the calculation gives 0.0 μB/f.u. As for the symmetry: I4/mmm.

Lattice parameters (Å, degrees): 3.4559 3.4559 7.8915 102.65 102.65 90.00
With the nearest neighbours (Å) after each atom.
Fractional positions:
Pr 0.0000 0.0000 0.0000  4 Pr 3.46, 8 Ce 3.59
Ce 0.6748 0.6748 0.3496  8 Ce 3.33-3.46, 4 Pr 3.59
Ce 0.3252 0.3252 0.6504  8 Ce 3.33-3.46, 4 Pr 3.59

No. 17
The following is a DFT calculation (PBE) of crystalline CePr2 at its relaxed geometry.

Its calculated total energy is -15.28 eV per cell. For the energy of formation, the calculation gives 0.072 eV/atom. The value obtained for the energy above the lowest structure with this stoichiometry is 0.000 eV per atom. For the magnetization, the calculation gives 0.2 μB/f.u. As for the symmetry: I4/mmm.

Lattice parameters (Å, degrees): 3.5965 3.5965 8.1206 102.79 102.79 90.00
With the nearest neighbours (Å) after each atom.
Fractional positions:
Pr 0.6569 0.6569 0.3138  4 Ce 3.51, 8 Pr 3.60-3.84
Pr 0.3431 0.3431 0.6862  4 Ce 3.51, 8 Pr 3.60-3.84
Ce 0.0000 0.0000 0.0000  8 Pr 3.51, 4 Ce 3.60

No. 18
The following is a DFT calculation (PBE) of crystalline CePr2 at its relaxed geometry.

Its calculated total energy is -28.78 eV per cell. For the energy of formation, the calculation gives 0.367 eV/atom. The value obtained for the energy above the lowest structure with this stoichiometry is 0.295 eV per atom. For the magnetization, the calculation gives 1.5 μB/f.u. As for the symmetry: Fd-3m.

Lattice parameters (Å, degrees): 6.7096 6.7096 6.7096 60.00 60.00 60.00
With the nearest neighbours (Å) after each atom.
Fractional positions:
Pr 0.1250 0.6250 0.6250  6 Pr 3.35
Pr 0.6250 0.1250 0.6250  6 Pr 3.35
Pr 0.6250 0.6250 0.6250  6 Pr 3.35
Pr 0.6250 0.6250 0.1250  6 Pr 3.35
Ce 0.0000 0.0000 0.0000  12 Pr 3.93, 4 Ce 4.11
Ce 0.2500 0.2500 0.2500  12 Pr 3.93, 4 Ce 4.11

No. 19
The following is a DFT calculation (PBE) of crystalline Ce3Pr at its relaxed geometry.

Its calculated total energy is -22.07 eV per cell. For the energy of formation, the calculation gives 0.127 eV/atom. The value obtained for the energy above the lowest structure with this stoichiometry is 0.016 eV per atom. For the magnetization, the calculation gives 0.0 μB/f.u. As for the symmetry: Pmm2.

Lattice parameters (Å, degrees): 3.3327 5.4695 6.2976 90.00 90.00 90.00
With the nearest neighbours (Å) after each atom.
Fractional positions:
Pr 0.0000 0.0000 0.0530  2 Ce 3.15, 2 Pr 3.33
Ce 0.5000 0.0000 0.5570  4 Ce 3.01-3.33
Ce 0.5000 0.5000 0.7551  6 Ce 3.01-3.33
Ce 0.0000 0.5000 0.3016  2 Pr 3.15, 4 Ce 3.31-3.33

No. 20
The following is a DFT calculation (PBE) of crystalline Ce5Pr at its relaxed geometry.

Its calculated total energy is -33.99 eV per cell. For the energy of formation, the calculation gives 0.077 eV/atom. For the magnetization, the calculation gives 0.0 μB/f.u. As for the symmetry: Cmmm.

Lattice parameters (Å, degrees): 4.8002 4.8172 7.6434 108.37 90.00 90.00
With the nearest neighbours (Å) after each atom.
Fractional positions:
Pr 0.0000 0.0000 0.0000  12 Ce 3.40-3.46
Ce 0.0000 0.6708 0.3415  10 Ce 3.33-3.45, 2 Pr 3.46
Ce 0.0000 0.3292 0.6585  10 Ce 3.33-3.45, 2 Pr 3.46
Ce 0.5000 0.5000 0.0000  4 Pr 3.40, 8 Ce 3.44-3.45
Ce 0.5000 0.1697 0.3394  10 Ce 3.33-3.44, 2 Pr 3.44
Ce 0.5000 0.8303 0.6606  10 Ce 3.33-3.44, 2 Pr 3.44